Entry from Alexandria via LeMat-Bulk: Ta3NbV4O20 at its PBEsol-relaxed geometry (meta-GGA SCAN).

Output
Its density of states at the Fermi level is 0.0 states/eV per cell. The energy relative to the elements, uncorrected is -2.766 eV per atom. Its energy is -18.03 eV/atom.

Cell: 5.5616 6.9955 11.9262 Å, 90.07 90.00 90.00°
With the nearest neighbours (Å) after each atom.
Positions (direct):
O1 0.2516 0.3421 0.3750  1 V 1.69
O2 0.7490 0.9995 0.5008  1 Nb 1.91, 1 Ta 1.92
O3 0.0000 0.1766 0.0760  1 V 1.72
O4 0.5000 0.6764 0.4251  1 V 1.72
O5 0.5000 0.8241 0.9236  1 V 1.71
O6 0.7504 0.8414 0.1225  1 V 1.69
O7 0.0000 0.4700 0.7950  1 V 1.72
O8 0.2496 0.8414 0.1225  1 V 1.69
O9 0.7500 0.6598 0.6252  1 V 1.70
O10 0.7500 0.4999 0.9995  2 Ta 1.91
O11 0.5000 0.9719 0.7054  1 V 1.73
O12 0.7484 0.3421 0.3750  1 V 1.69
O13 0.2510 0.9995 0.5008  1 Nb 1.91, 1 Ta 1.92
O14 0.2503 0.1589 0.8765  1 V 1.69
O15 0.2500 0.4999 0.9995  2 Ta 1.91
O16 0.2500 0.6598 0.6252  1 V 1.70
O17 0.0000 0.0267 0.2940  1 V 1.73
O18 0.5000 0.5311 0.2045  1 V 1.73
O19 0.0000 0.3262 0.5764  1 V 1.71
O20 0.7497 0.1589 0.8765  1 V 1.69
Ta1 0.5000 0.6576 0.0587  6 O 1.91-2.04
Ta2 0.0000 0.3415 0.9412  6 O 1.91-2.04
Ta3 0.5000 0.8389 0.5603  6 O 1.92-2.03
Nb1 0.0000 0.1548 0.4412  6 O 1.91-2.07
V1 0.5000 0.4708 0.3454  4 O 1.69-1.73
V2 0.0000 0.5303 0.6549  4 O 1.70-1.72
V3 0.5000 0.0301 0.8461  4 O 1.69-1.73
V4 0.0000 0.9697 0.1531  4 O 1.69-1.73


Entry from Alexandria via LeMat-Bulk: AlIrPt at its PBEsol-relaxed geometry (meta-GGA SCAN).

Output
Its density of states at the Fermi level is 4.2 states/eV per cell. The calculated formation energy comes out at -0.2649 eV per atom. The value obtained for the offset from the most stable computed form is 412.8 meV per atom. Its energy is -49.95 eV/atom.

Cell: 4.1805 4.1805 4.1805 Å, 60.00 60.00 60.00°
With the nearest neighbours (Å) after each atom.
Positions (direct):
Pt1 0.0000 0.0000 0.0000  4 Ir 2.56
Al1 0.5000 0.5000 0.5000  4 Ir 2.56
Ir1 0.2500 0.2500 0.2500  4 Al 2.56, 4 Pt 2.56


Entry from Alexandria via LeMat-Bulk: LaNOF2 at its PBEsol-relaxed geometry (meta-GGA SCAN).

Output
Its density of states at the Fermi level is 5.7 states/eV per cell. The energy relative to the elements, uncorrected is -1.622 eV per atom. The value obtained for the offset from the most stable computed form is 0.0 meV per atom. Its energy is -14.76 eV/atom.

Cell: 4.6265 4.6265 4.6258 Å, 90.00 90.00 90.00°
With the nearest neighbours (Å) after each atom.
Positions (direct):
La1 0.0000 0.0000 0.0000  2 O 2.31, 4 F 2.31
N1 0.5000 0.5000 0.5000  8 F 3.27, 4 O 3.27
F1 0.5000 0.0000 0.0000  2 La 2.31
F2 0.0000 0.5000 0.0000  2 La 2.31
O1 0.0000 0.0000 0.5000  2 La 2.31